[1]
La2DyP3Rh4: optimized geometry, PBE-GGA.

As for the density: 8.4 g/cm³. As for the size of the total moment: 0.0 μB per cell. Its electronic total energy is -7.100 eV/atom. For the formation energy, the calculation gives -1091 meV per atom.

The space group is P-4m2 (No. 115) and the conventional cell measures 4.063, 4.063 and 11.301 Å, with angles of 90.00, 90.00 and 90.00 degrees. The inequivalent atoms are La at (0.000, 0.500, 0.227), Dy at (0.000, 0.000, 0.500), P at (0.000, 0.500, 0.879), P at (0.500, 0.500, 0.500), Rh at (0.000, 0.000, 0.000), Rh at (0.000, 0.500, 0.669) and Rh at (0.500, 0.500, 0.000).

***

[2]
Sr2LaSc: optimized geometry, PBE-GGA.

As for the density: 3.6 g/cm³. For the energy above the lowest structure with this stoichiometry, the calculation gives 0 meV per atom. As for the size of the total moment: 0.0 μB per cell. Its electronic total energy is -3.525 eV/atom. For the formation energy, the calculation gives 131 meV per atom.

The space group is P4mm (No. 99) and the conventional cell measures 4.021, 4.021 and 10.132 Å, with angles of 90.00, 90.00 and 90.00 degrees. The inequivalent atoms are Sr at (0.000, 0.000, 0.000), Sr at (0.500, 0.500, 0.314), La at (0.000, 0.000, 0.594) and Sc at (0.500, 0.500, 0.775).

***

[3]
KH2IF2: optimized geometry, PBE-GGA.

As for the density: 2.6 g/cm³. As for the size of the total moment: 0.0 μB per cell. Its electronic total energy is -3.647 eV/atom.

The space group is P2_1/m (No. 11) and the conventional cell measures 6.788, 4.208 and 9.351 Å, with angles of 90.00, 99.39 and 90.00 degrees. The inequivalent atoms are K at (0.223, 0.250, 0.372), H at (0.253, 0.503, 0.036), I at (0.283, 0.750, 0.662), F at (0.179, 0.250, 0.029) and F at (0.322, 0.750, 0.062).

***

[4]
Sc2Au2Br: optimized geometry, PBE-GGA.

As for the density: 8.6 g/cm³. As for the size of the total moment: 0.0 μB per cell. The calculation puts the uncorrected formation energy at -0.747 eV per atom. Its electronic total energy is -4.925 eV/atom.

The space group is P4/mbm (No. 127) and the conventional cell measures 7.682, 7.682 and 3.674 Å, with angles of 90.00, 90.00 and 90.00 degrees. The inequivalent atoms are Sc at (0.163, 0.337, 0.000), Au at (0.132, 0.632, 0.500) and Br at (0.000, 0.000, 0.000).

***

[5]
Cd2HgBi: optimized geometry, PBE-GGA.

As for the density: 9.5 g/cm³. For the energy above the lowest structure with this stoichiometry, the calculation gives 61 meV per atom. As for the size of the total moment: 0.0 μB per cell. Its electronic total energy is -1.409 eV/atom. For the formation energy, the calculation gives 94 meV per atom.

The space group is I-42d (No. 122) and the conventional cell measures 4.630, 4.630 and 20.725 Å, with angles of 90.00, 90.00 and 90.00 degrees. The inequivalent atoms are Cd at (0.222, 0.250, 0.125), Hg at (0.000, 0.000, 0.000) and Bi at (0.000, 0.000, 0.500).

***

[6]
Zr4TcAu: optimized geometry, PBE-GGA.

As for the density: 7.8 g/cm³. For the energy above the lowest structure with this stoichiometry, the calculation gives 276 meV per atom. As for the size of the total moment: 0.0 μB per cell. Its electronic total energy is -8.026 eV/atom. For the formation energy, the calculation gives -53 meV per atom.

The space group is P4/mmm (No. 123) and the conventional cell measures 4.627, 4.627 and 6.535 Å, with angles of 90.00, 90.00 and 90.00 degrees. The inequivalent atoms are Zr at (0.000, 0.500, 0.236), Tc at (0.000, 0.000, 0.000) and Au at (0.500, 0.500, 0.500).

***

[7]
Zn2SbIr: optimized geometry, PBE-GGA.

As for the density: 10.9 g/cm³. For the energy above the lowest structure with this stoichiometry, the calculation gives 157 meV per atom. As for the size of the total moment: 0.0 μB per cell. The calculation puts the uncorrected formation energy at 0.134 eV per atom. Its electronic total energy is -3.749 eV/atom.

The space group is Cmmm (No. 65) and the conventional cell measures 5.392, 7.967 and 3.157 Å, with angles of 90.00, 90.00 and 90.00 degrees. The inequivalent atoms are Zn at (0.250, 0.250, 0.000), Sb at (0.000, 0.000, 0.500) and Ir at (0.000, 0.500, 0.500).